# PBE-GGA ReCl, optimized geometry
data_ReCl
_space_group_name_H-M_alt 'P 1'
_space_group_IT_number 1
_cell_length_a 2.944
_cell_length_b 2.944
_cell_length_c 8.364
_cell_angle_alpha 90.00
_cell_angle_beta 90.00
_cell_angle_gamma 120.00
loop_
_space_group_symop_operation_xyz
'x,y,z'
loop_
_atom_site_label
_atom_site_type_symbol
_atom_site_fract_x
_atom_site_fract_y
_atom_site_fract_z
Re1 Re 0.333 0.667 0.000
Re2 Re 0.667 0.333 0.500
Cl1 Cl 0.333 0.667 0.727
Cl2 Cl 0.667 0.333 0.227
# Spin magnetization ... 0.0 μB/f.u.
# SG ... P6_3mc (186)
# Formation energy without anion corrections ... 88.8 kJ per mole of atoms
# Density ... 11.72 g cm⁻³

# PBE-GGA PuPaBeN3, optimized geometry
data_PuPaBeN3
_space_group_name_H-M_alt 'P 1'
_space_group_IT_number 1
_cell_length_a 6.846
_cell_length_b 3.349
_cell_length_c 7.115
_cell_angle_alpha 90.00
_cell_angle_beta 97.79
_cell_angle_gamma 90.00
loop_
_space_group_symop_operation_xyz
'x,y,z'
loop_
_atom_site_label
_atom_site_type_symbol
_atom_site_fract_x
_atom_site_fract_y
_atom_site_fract_z
Pu1 Pu 0.197 0.250 0.158
Pu2 Pu 0.803 0.750 0.842
Pa1 Pa 0.198 0.250 0.647
Pa2 Pa 0.802 0.750 0.353
Be1 Be 0.408 0.750 0.925
Be2 Be 0.592 0.250 0.075
N1 N 0.140 0.750 0.412
N2 N 0.155 0.750 0.879
N3 N 0.495 0.250 0.844
N4 N 0.505 0.750 0.156
N5 N 0.845 0.250 0.121
N6 N 0.860 0.250 0.588
# Spin magnetization ... 5.6 μB/f.u.
# SG ... P2_1/m (11)
# Formation energy without anion corrections ... -120.6 kJ per mole of atoms
# Density ... 10.81 g cm⁻³

# PBE-GGA Ac4GeRh2, optimized geometry
data_Ac4GeRh2
_space_group_name_H-M_alt 'P 1'
_space_group_IT_number 1
_cell_length_a 7.454
_cell_length_b 7.454
_cell_length_c 14.462
_cell_angle_alpha 90.00
_cell_angle_beta 90.00
_cell_angle_gamma 145.70
loop_
_space_group_symop_operation_xyz
'x,y,z'
loop_
_atom_site_label
_atom_site_type_symbol
_atom_site_fract_x
_atom_site_fract_y
_atom_site_fract_z
Ac1 Ac 0.000 0.000 0.000
Ac2 Ac 0.000 0.000 0.500
Ac3 Ac 0.273 0.727 0.617
Ac4 Ac 0.273 0.727 0.883
Ac5 Ac 0.451 0.549 0.250
Ac6 Ac 0.549 0.451 0.750
Ac7 Ac 0.727 0.273 0.117
Ac8 Ac 0.727 0.273 0.383
Ge1 Ge 0.112 0.888 0.250
Ge2 Ge 0.888 0.112 0.750
Rh1 Rh 0.370 0.630 0.062
Rh2 Rh 0.370 0.630 0.438
Rh3 Rh 0.630 0.370 0.562
Rh4 Rh 0.630 0.370 0.938
# Spin magnetization ... 0.0 μB/f.u.
# SG ... Cmcm (63)
# Density ... 8.70 g cm⁻³
# Calculated formation energy ... -0.63 eV per atom

# PBE-GGA Cs2ThSnTe4, optimized geometry
data_Cs2ThSnTe4
_space_group_name_H-M_alt 'P 1'
_space_group_IT_number 1
_cell_length_a 8.215
_cell_length_b 4.711
_cell_length_c 9.209
_cell_angle_alpha 90.00
_cell_angle_beta 106.72
_cell_angle_gamma 90.00
loop_
_space_group_symop_operation_xyz
'x,y,z'
loop_
_atom_site_label
_atom_site_type_symbol
_atom_site_fract_x
_atom_site_fract_y
_atom_site_fract_z
Cs1 Cs 0.000 0.000 0.000
Cs2 Cs 0.500 0.500 0.000
Th1 Th 0.000 0.500 0.500
Sn1 Sn 0.500 0.000 0.500
Te1 Te 0.224 0.000 0.691
Te2 Te 0.258 0.500 0.309
Te3 Te 0.742 0.500 0.691
Te4 Te 0.776 0.000 0.309
# Spin magnetization ... 0.0 μB/f.u.
# SG ... P2/m (10)
# Formation energy without anion corrections ... -96.9 kJ per mole of atoms
# Density ... 5.48 g cm⁻³

# PBE-GGA V2CrW, optimized geometry
data_V2CrW
_space_group_name_H-M_alt 'P 1'
_space_group_IT_number 1
_cell_length_a 3.006
_cell_length_b 3.006
_cell_length_c 6.017
_cell_angle_alpha 90.00
_cell_angle_beta 90.00
_cell_angle_gamma 90.00
loop_
_space_group_symop_operation_xyz
'x,y,z'
loop_
_atom_site_label
_atom_site_type_symbol
_atom_site_fract_x
_atom_site_fract_y
_atom_site_fract_z
V1 V 0.000 0.000 0.238
V2 V 0.000 0.000 0.762
Cr1 Cr 0.500 0.500 0.000
W1 W 0.500 0.500 0.500
# Spin magnetization ... 0.0 μB/f.u.
# SG ... P4/mmm (123)
# Density ... 10.31 g cm⁻³
# Calculated formation energy ... -0.05 eV per atom

# PBE-GGA AcRhCl, optimized geometry
data_AcRhCl
_space_group_name_H-M_alt 'P 1'
_space_group_IT_number 1
_cell_length_a 7.679
_cell_length_b 4.444
_cell_length_c 10.704
_cell_angle_alpha 90.00
_cell_angle_beta 92.20
_cell_angle_gamma 90.00
loop_
_space_group_symop_operation_xyz
'x,y,z'
loop_
_atom_site_label
_atom_site_type_symbol
_atom_site_fract_x
_atom_site_fract_y
_atom_site_fract_z
Ac1 Ac 0.010 0.000 0.185
Ac2 Ac 0.490 0.500 0.815
Ac3 Ac 0.510 0.500 0.185
Ac4 Ac 0.990 0.000 0.815
Rh1 Rh 0.167 0.500 0.995
Rh2 Rh 0.333 0.000 0.005
Rh3 Rh 0.667 0.000 0.995
Rh4 Rh 0.833 0.500 0.005
Cl1 Cl 0.185 0.500 0.348
Cl2 Cl 0.315 0.000 0.652
Cl3 Cl 0.685 0.000 0.348
Cl4 Cl 0.815 0.500 0.652
# Spin magnetization ... 0.0 μB/f.u.
# SG ... C2/m (12)
# Formation energy without anion corrections ... -137.8 kJ per mole of atoms
# Density ... 6.65 g cm⁻³

# PBE-GGA Ni2MoCl, optimized geometry
data_Ni2MoCl
_space_group_name_H-M_alt 'P 1'
_space_group_IT_number 1
_cell_length_a 7.831
_cell_length_b 2.840
_cell_length_c 6.327
_cell_angle_alpha 90.00
_cell_angle_beta 94.17
_cell_angle_gamma 90.00
loop_
_space_group_symop_operation_xyz
'x,y,z'
loop_
_atom_site_label
_atom_site_type_symbol
_atom_site_fract_x
_atom_site_fract_y
_atom_site_fract_z
Ni1 Ni 0.000 0.000 0.000
Ni2 Ni 0.228 0.500 0.171
Ni3 Ni 0.500 0.500 0.000
Ni4 Ni 0.728 0.000 0.171
Mo1 Mo 0.463 0.000 0.330
Mo2 Mo 0.963 0.500 0.330
Cl1 Cl 0.022 0.000 0.644
Cl2 Cl 0.522 0.500 0.644
# Spin magnetization ... 0.0 μB/f.u.
# SG ... Cm (8)
# Formation energy without anion corrections ... 21.4 kJ per mole of atoms
# Density ... 5.89 g cm⁻³

# PBE-GGA La2Sm2Pt3, optimized geometry
data_La2Sm2Pt3
_space_group_name_H-M_alt 'P 1'
_space_group_IT_number 1
_cell_length_a 7.827
_cell_length_b 7.827
_cell_length_c 7.827
_cell_angle_alpha 109.47
_cell_angle_beta 109.47
_cell_angle_gamma 109.47
loop_
_space_group_symop_operation_xyz
'x,y,z'
loop_
_atom_site_label
_atom_site_type_symbol
_atom_site_fract_x
_atom_site_fract_y
_atom_site_fract_z
La1 La 0.000 0.619 0.500
La2 La 0.500 0.000 0.619
La3 La 0.619 0.500 0.000
La4 La 0.881 0.881 0.881
Sm1 Sm 0.000 0.121 0.500
Sm2 Sm 0.121 0.500 0.000
Sm3 Sm 0.379 0.379 0.379
Sm4 Sm 0.500 0.000 0.121
Pt1 Pt 0.133 0.883 0.250
Pt2 Pt 0.250 0.133 0.883
Pt3 Pt 0.367 0.617 0.750
Pt4 Pt 0.617 0.750 0.367
Pt5 Pt 0.750 0.367 0.617
Pt6 Pt 0.883 0.250 0.133
# Spin magnetization ... 0.0 μB/f.u.
# SG ... I2_13 (199)
# Density ... 10.47 g cm⁻³
# Calculated formation energy ... -1.03 eV per atom

# PBE-GGA Tb4Pr2Er, optimized geometry
data_Tb4Pr2Er
_space_group_name_H-M_alt 'P 1'
_space_group_IT_number 1
_cell_length_a 5.545
_cell_length_b 5.545
_cell_length_c 17.348
_cell_angle_alpha 90.00
_cell_angle_beta 90.00
_cell_angle_gamma 90.00
loop_
_space_group_symop_operation_xyz
'x,y,z'
loop_
_atom_site_label
_atom_site_type_symbol
_atom_site_fract_x
_atom_site_fract_y
_atom_site_fract_z
Tb1 Tb 0.000 0.000 0.176
Tb2 Tb 0.000 0.000 0.824
Tb3 Tb 0.000 0.500 0.000
Tb4 Tb 0.000 0.500 0.500
Tb5 Tb 0.500 0.000 0.000
Tb6 Tb 0.500 0.000 0.500
Tb7 Tb 0.500 0.500 0.324
Tb8 Tb 0.500 0.500 0.676
Pr1 Pr 0.000 0.000 0.376
Pr2 Pr 0.000 0.000 0.624
Pr3 Pr 0.500 0.500 0.124
Pr4 Pr 0.500 0.500 0.876
Er1 Er 0.000 0.000 0.000
Er2 Er 0.500 0.500 0.500
# Spin magnetization ... 0.5 μB/f.u.
# SG ... I4/mmm (139)
# Density ... 6.75 g cm⁻³
# Calculated formation energy ... 0.65 eV per atom

# PBE-GGA Sr2SbOs, optimized geometry
data_Sr2SbOs
_space_group_name_H-M_alt 'P 1'
_space_group_IT_number 1
_cell_length_a 3.427
_cell_length_b 3.427
_cell_length_c 9.266
_cell_angle_alpha 90.00
_cell_angle_beta 90.00
_cell_angle_gamma 90.00
loop_
_space_group_symop_operation_xyz
'x,y,z'
loop_
_atom_site_label
_atom_site_type_symbol
_atom_site_fract_x
_atom_site_fract_y
_atom_site_fract_z
Sr1 Sr 0.000 0.000 0.215
Sr2 Sr 0.000 0.000 0.785
Sb1 Sb 0.500 0.500 0.500
Os1 Os 0.500 0.500 0.000
# Spin magnetization ... 0.4 μB/f.u.
# SG ... P4/mmm (123)
# Formation energy without anion corrections ... 20.5 kJ per mole of atoms
# Density ... 7.44 g cm⁻³

# PBE-GGA Tb12NdSc2, optimized geometry
data_Tb12NdSc2
_space_group_name_H-M_alt 'P 1'
_space_group_IT_number 1
_cell_length_a 3.575
_cell_length_b 4.846
_cell_length_c 27.752
_cell_angle_alpha 90.00
_cell_angle_beta 93.65
_cell_angle_gamma 90.00
loop_
_space_group_symop_operation_xyz
'x,y,z'
loop_
_atom_site_label
_atom_site_type_symbol
_atom_site_fract_x
_atom_site_fract_y
_atom_site_fract_z
Tb1 Tb 0.032 0.000 0.067
Tb2 Tb 0.095 0.000 0.197
Tb3 Tb 0.157 0.000 0.321
Tb4 Tb 0.223 0.000 0.447
Tb5 Tb 0.311 0.500 0.618
Tb6 Tb 0.437 0.500 0.868
Tb7 Tb 0.563 0.500 0.132
Tb8 Tb 0.689 0.500 0.382
Tb9 Tb 0.777 0.000 0.553
Tb10 Tb 0.843 0.000 0.679
Tb11 Tb 0.905 0.000 0.803
Tb12 Tb 0.968 0.000 0.933
Nd1 Nd 0.500 0.500 0.000
Sc1 Sc 0.374 0.500 0.741
Sc2 Sc 0.626 0.500 0.259
# Spin magnetization ... 0.0 μB/f.u.
# SG ... P2/m (10)
# Density ... 7.41 g cm⁻³
# Calculated formation energy ... 0.12 eV per atom

# PBE-GGA YTlIr2, optimized geometry
data_YTlIr2
_space_group_name_H-M_alt 'P 1'
_space_group_IT_number 1
_cell_length_a 4.056
_cell_length_b 4.056
_cell_length_c 9.232
_cell_angle_alpha 90.00
_cell_angle_beta 90.00
_cell_angle_gamma 90.00
loop_
_space_group_symop_operation_xyz
'x,y,z'
loop_
_atom_site_label
_atom_site_type_symbol
_atom_site_fract_x
_atom_site_fract_y
_atom_site_fract_z
Y1 Y 0.000 0.000 0.000
Y2 Y 0.500 0.500 0.500
Tl1 Tl 0.000 0.500 0.750
Tl2 Tl 0.500 0.000 0.250
Ir1 Ir 0.000 0.000 0.500
Ir2 Ir 0.000 0.500 0.250
Ir3 Ir 0.500 0.000 0.750
Ir4 Ir 0.500 0.500 0.000
# Spin magnetization ... 0.0 μB/f.u.
# SG ... I-4m2 (119)
# Density ... 14.82 g cm⁻³
# Calculated formation energy ... -0.14 eV per atom

> Which formula does entry 5 have?

V2CrW

> Which of these has the highest spin magnetization?

PuPaBeN3

> Number 5 is which compound?

V2CrW